ThCdBi2 GGA-PBE relaxed; density of states at the Fermi level = 2.28 states/eV per cell; ΔH_f (0 K) = -0.363 eV per atom; calculated volume = 28.8 Å³ per atom; E_tot = -4.39 eV per atom
1.0
5.1985 0.0000 0.0000
0.0000 5.1985 0.0000
0.0000 0.0000 4.2689
Th Cd Bi
1 1 2
direct
0.0000 0.0000 0.0000 Th
0.5000 0.5000 0.0000 Cd
0.0000 0.5000 0.5000 Bi
0.5000 0.0000 0.5000 Bi